[1]
A plane-wave DFT calculation with PBE-GGA was carried out for BrCl2F after structural relaxation.

Cell and atoms, written as POSCAR:
```
BrCl2F
1.0
8.272 0.000 0.000
0.000 8.772 0.000
-3.496 0.000 7.255
Br Cl F
4 8 4
Direct
0.000 0.192 0.000 Br
0.000 0.808 0.500 Br
0.500 0.308 0.500 Br
0.500 0.692 0.000 Br
0.002 0.033 0.790 Cl
0.002 0.967 0.290 Cl
0.489 0.053 0.734 Cl
0.489 0.947 0.234 Cl
0.502 0.467 0.290 Cl
0.502 0.533 0.790 Cl
0.989 0.447 0.234 Cl
0.989 0.553 0.734 Cl
0.494 0.106 0.934 F
0.494 0.894 0.434 F
0.994 0.394 0.434 F
0.994 0.606 0.934 F
```

Values from the calculation:
Formation energy from raw total energies in meV/atom: -134
V in A^3/atom: 32.9
Raw total energy in eV for the cell shown: -31.10



[2]
A plane-wave DFT calculation with PBE-GGA was carried out for NbSnAu2 after structural relaxation.

Cell and atoms, written as POSCAR:
```
NbSnAu2
1.0
4.403 0.000 0.000
-2.201 3.813 0.000
0.000 0.000 15.465
Nb Sn Au
3 3 6
Direct
0.000 0.000 0.000 Nb
0.333 0.667 0.667 Nb
0.667 0.333 0.333 Nb
0.000 0.000 0.192 Sn
0.333 0.667 0.858 Sn
0.667 0.333 0.525 Sn
0.000 0.000 0.602 Au
0.000 0.000 0.779 Au
0.333 0.667 0.269 Au
0.333 0.667 0.446 Au
0.667 0.333 0.113 Au
0.667 0.333 0.936 Au
```

Values from the calculation:
ΔE_f in eV per atom: 0.1531
V in A^3/atom: 21.6
D(E_F) in states/eV/f.u.: 3.23
Raw total energy in eV for the cell shown: -60.05



[3]
A plane-wave DFT calculation with PBE-GGA was carried out for YCdSi2Pt5 after structural relaxation.

Cell and atoms, written as POSCAR:
```
YCdSi2Pt5
1.0
4.171 0.000 0.000
0.000 4.171 0.000
0.000 0.000 8.919
Y Cd Si Pt
1 1 2 5
Direct
0.000 0.000 0.000 Y
0.000 0.000 0.500 Cd
0.500 0.500 0.371 Si
0.500 0.500 0.629 Si
0.000 0.500 0.238 Pt
0.000 0.500 0.762 Pt
0.500 0.000 0.238 Pt
0.500 0.000 0.762 Pt
0.500 0.500 0.000 Pt
```

Values from the calculation:
Formation energy from raw total energies in meV/atom: -768
V in A^3/atom: 17.2
D(E_F) in states/eV/f.u.: 3.59
Raw total energy in eV for the cell shown: -55.34



[4]
A plane-wave DFT calculation with PBE-GGA was carried out for HfUTcIr after structural relaxation.

Cell and atoms, written as POSCAR:
```
HfUTcIr
1.0
6.679 0.000 0.000
0.000 6.679 0.000
0.000 0.000 6.679
Hf U Tc Ir
4 4 4 4
Direct
0.000 0.000 0.000 Hf
0.000 0.500 0.500 Hf
0.500 0.000 0.500 Hf
0.500 0.500 0.000 Hf
0.000 0.000 0.500 U
0.000 0.500 0.000 U
0.500 0.000 0.000 U
0.500 0.500 0.500 U
0.250 0.250 0.750 Tc
0.250 0.750 0.250 Tc
0.750 0.250 0.250 Tc
0.750 0.750 0.750 Tc
0.250 0.250 0.250 Ir
0.250 0.750 0.750 Ir
0.750 0.250 0.750 Ir
0.750 0.750 0.250 Ir
```

Values from the calculation:
ΔE_f in eV per atom: -0.3905
V in A^3/atom: 18.6
D(E_F) in states/eV/f.u.: 7.09
Raw total energy in eV for the cell shown: -168.12



[5]
A plane-wave DFT calculation with PBE-GGA was carried out for Y2Te5 after structural relaxation.

Cell and atoms, written as POSCAR:
```
Y2Te5
1.0
2.191 -22.376 0.000
2.191 22.376 0.000
0.000 0.000 4.382
Y Te
4 10
Direct
0.102 0.898 0.750 Y
0.306 0.694 0.750 Y
0.694 0.306 0.250 Y
0.898 0.102 0.250 Y
0.047 0.953 0.250 Te
0.174 0.826 0.750 Te
0.250 0.750 0.250 Te
0.376 0.624 0.750 Te
0.453 0.547 0.250 Te
0.547 0.453 0.750 Te
0.624 0.376 0.250 Te
0.750 0.250 0.750 Te
0.826 0.174 0.250 Te
0.953 0.047 0.750 Te
```

Values from the calculation:
Formation energy from raw total energies in meV/atom: -1031
V in A^3/atom: 30.7
D(E_F) in states/eV/f.u.: 1.67
Raw total energy in eV for the cell shown: -71.70



[6]
A plane-wave DFT calculation with PBE-GGA was carried out for NaGaPb2Br6 after structural relaxation.

Cell and atoms, written as POSCAR:
```
NaGaPb2Br6
1.0
3.868 2.233 6.931
-3.868 2.233 6.931
0.000 -4.466 6.931
Na Ga Pb Br
1 1 2 6
Direct
0.000 0.000 0.000 Na
0.502 0.502 0.502 Ga
0.306 0.306 0.306 Pb
0.804 0.804 0.804 Pb
0.092 0.397 0.709 Br
0.192 0.914 0.598 Br
0.397 0.709 0.092 Br
0.598 0.192 0.914 Br
0.709 0.092 0.397 Br
0.914 0.598 0.192 Br
```

Values from the calculation:
Formation energy from raw total energies in meV/atom: -960
V in A^3/atom: 35.9
D(E_F) in states/eV/f.u.: 0.00
Raw total energy in eV for the cell shown: -31.40



[7]
A plane-wave DFT calculation with PBE-GGA was carried out for AgTeCl2 after structural relaxation.

Cell and atoms, written as POSCAR:
```
AgTeCl2
1.0
3.277 0.000 0.000
0.000 3.302 0.000
0.000 0.000 8.366
Ag Te Cl
1 1 2
Direct
0.000 0.000 0.000 Ag
0.000 0.000 0.500 Te
0.500 0.500 0.207 Cl
0.500 0.500 0.793 Cl
```

Values from the calculation:
Formation energy from raw total energies in meV/atom: 7
V in A^3/atom: 22.6
D(E_F) in states/eV/f.u.: 2.61
Raw total energy in eV for the cell shown: -9.66



[8]
A plane-wave DFT calculation with PBE-GGA was carried out for Ac2YPaP4 after structural relaxation.

Cell and atoms, written as POSCAR:
```
Ac2YPaP4
1.0
7.205 0.000 0.000
0.000 4.189 0.000
-2.421 0.000 6.952
Ac Y Pa P
2 1 1 4
Direct
0.000 0.000 0.000 Ac
0.500 0.500 0.000 Ac
0.000 0.500 0.500 Y
0.500 0.000 0.500 Pa
0.247 0.000 0.721 P
0.265 0.500 0.282 P
0.735 0.500 0.718 P
0.753 0.000 0.279 P
```

Values from the calculation:
ΔE_f in eV per atom: -1.4364
V in A^3/atom: 26.2
D(E_F) in states/eV/f.u.: 4.67
Raw total energy in eV for the cell shown: -57.31



[9]
A plane-wave DFT calculation with PBE-GGA was carried out for BaBi2 after structural relaxation.

Cell and atoms, written as POSCAR:
```
BaBi2
1.0
4.408 0.000 0.000
0.000 4.408 0.000
0.000 0.000 12.060
Ba Bi
2 4
Direct
0.000 0.000 0.000 Ba
0.500 0.500 0.500 Ba
0.000 0.000 0.296 Bi
0.000 0.000 0.704 Bi
0.500 0.500 0.204 Bi
0.500 0.500 0.796 Bi
```

Values from the calculation:
ΔE_f in eV per atom: -0.5141
V in A^3/atom: 39.0
D(E_F) in states/eV/f.u.: 0.89
Raw total energy in eV for the cell shown: -22.45



[10]
A plane-wave DFT calculation with PBE-GGA was carried out for ErVAgCl6 after structural relaxation.

Cell and atoms, written as POSCAR:
```
ErVAgCl6
1.0
6.490 0.000 0.000
-3.245 5.620 0.000
0.000 0.000 12.372
Er V Ag Cl
2 2 2 12
Direct
0.333 0.667 0.250 Er
0.667 0.333 0.750 Er
0.333 0.667 0.750 V
0.667 0.333 0.250 V
0.000 0.000 0.000 Ag
0.000 0.000 0.500 Ag
0.017 0.361 0.632 Cl
0.017 0.656 0.868 Cl
0.344 0.361 0.868 Cl
0.344 0.983 0.632 Cl
0.361 0.017 0.132 Cl
0.361 0.344 0.368 Cl
0.639 0.656 0.632 Cl
0.639 0.983 0.868 Cl
0.656 0.017 0.368 Cl
0.656 0.639 0.132 Cl
0.983 0.344 0.132 Cl
0.983 0.639 0.368 Cl
```

Values from the calculation:
Formation energy from raw total energies in meV/atom: -1479
V in A^3/atom: 25.1
Raw total energy in eV for the cell shown: -81.85



[11]
A plane-wave DFT calculation with PBE-GGA was carried out for TaMnSi2 after structural relaxation.

Cell and atoms, written as POSCAR:
```
TaMnSi2
1.0
3.831 0.000 0.000
0.000 3.831 0.000
0.000 0.000 7.847
Ta Mn Si
2 2 4
Direct
0.000 0.000 0.000 Ta
0.500 0.500 0.500 Ta
0.000 0.000 0.500 Mn
0.500 0.500 0.000 Mn
0.000 0.500 0.250 Si
0.000 0.500 0.750 Si
0.500 0.000 0.250 Si
0.500 0.000 0.750 Si
```

Values from the calculation:
Formation energy from raw total energies in meV/atom: -80
V in A^3/atom: 14.4
D(E_F) in states/eV/f.u.: 2.72
Raw total energy in eV for the cell shown: -64.37



[12]
A plane-wave DFT calculation with PBE-GGA was carried out for LaFe2GeN after structural relaxation.

Cell and atoms, written as POSCAR:
```
LaFe2GeN
1.0
1.970 -5.412 0.000
1.970 5.412 0.000
0.000 0.000 6.899
La Fe Ge N
2 4 2 2
Direct
0.054 0.946 0.750 La
0.946 0.054 0.250 La
0.342 0.658 0.560 Fe
0.342 0.658 0.940 Fe
0.658 0.342 0.060 Fe
0.658 0.342 0.440 Fe
0.227 0.773 0.250 Ge
0.773 0.227 0.750 Ge
0.500 0.500 0.000 N
0.500 0.500 0.500 N
```

Values from the calculation:
Formation energy from raw total energies in meV/atom: -613
V in A^3/atom: 14.7
D(E_F) in states/eV/f.u.: 4.10
Raw total energy in eV for the cell shown: -75.72



Among the records above, which one has the highest V? BaBi2



Which of these has the lowest V? TaMnSi2



Number 8 is which compound? Ac2YPaP4



Among the records above, which one has the lowest V? TaMnSi2